Material: TlHgAsSe2
Method: DFT, meta-GGA SCAN
State: single point on PBEsol structure

Properties
- ΔE_f (raw): 18.63 kcal/mol of atoms
- Size of the total moment: 1.365 Bohr magnetons per cell
- Raw total energy: -39.367 eV/atom

```
TlHgAsSe2
1.0
5.2891 0.0000 0.0000
0.0000 5.2891 0.0000
0.0000 0.0000 5.3786
Tl Hg As Se
1 1 1 2
Direct
0.0000 0.0000 0.0000
0.5000 0.5000 0.5000
0.0000 0.0000 0.5000
0.0000 0.5000 0.0000
0.5000 0.0000 0.0000
```

Material: La2GaGeAu
Method: DFT, meta-GGA SCAN
State: single point on PBEsol structure

Properties
- Formation energy from the elements: -253 meV per atom
- Size of the total moment: 0.447 Bohr magnetons per cell
- Raw total energy: -38.413 eV/atom

```
La2GaGeAu
1.0
5.6226 0.0000 0.0000
0.0000 5.6226 0.0000
0.0000 0.0000 4.6179
La Ga Ge Au
2 1 1 1
Direct
0.0000 0.5000 0.0000
0.5000 0.0000 0.0000
0.0000 0.0000 0.0000
0.5000 0.5000 0.5000
0.0000 0.0000 0.5000
```

Material: FeCuS2Cl
Method: DFT, meta-GGA SCAN
State: single point on PBEsol structure

Properties
- ΔE_f (raw): 6.75 kcal/mol of atoms
- Size of the total moment: 3.872 Bohr magnetons per cell
- Raw total energy: -11.820 eV/atom

```
FeCuS2Cl
1.0
4.3408 0.0000 0.0000
0.0000 4.3408 0.0000
0.0000 0.0000 4.7129
Fe Cu S Cl
1 1 2 1
Direct
0.0000 0.0000 0.0000
0.5000 0.5000 0.5000
0.0000 0.5000 0.0000
0.5000 0.0000 0.0000
0.0000 0.0000 0.5000
```

Material: ZrAlPt2
Method: DFT, meta-GGA SCAN
State: single point on PBEsol structure

Properties
- Formation energy from the elements: -1286 meV per atom
- Size of the total moment: 0.000 Bohr magnetons per cell
- Raw total energy: -45.995 eV/atom

```
ZrAlPt2
1.0
2.8349 0.0000 0.0000
0.0000 3.2180 0.0000
0.0000 0.0000 6.9818
Zr Al Pt
1 1 2
Direct
0.0000 0.0000 0.0000
0.0000 0.0000 0.5000
0.5000 0.5000 0.2829
0.5000 0.5000 0.7171
```

Material: LaNdAl6
Method: DFT, meta-GGA SCAN
State: single point on PBEsol structure

Properties
- Formation energy from the elements: -469 meV per atom
- Size of the total moment: 0.062 Bohr magnetons per cell
- Raw total energy: -17.119 eV/atom

```
LaNdAl6
1.0
6.4958 0.0000 0.0000
-3.2479 5.6255 0.0000
0.0000 0.0000 4.6147
La Nd Al
1 1 6
Direct
0.0000 0.0000 0.0000
0.6667 0.3333 0.5000
0.0498 0.5249 0.0000
0.1928 0.3856 0.5000
0.1928 0.8072 0.5000
0.4751 0.5249 0.0000
0.4751 0.9502 0.0000
0.6144 0.8072 0.5000
```

Material: TcSbCl2
Method: DFT, meta-GGA SCAN
State: single point on PBEsol structure

Properties
- ΔE_f (raw): 2.16 kcal/mol of atoms
- Size of the total moment: 0.026 Bohr magnetons per cell
- Excess energy over the best structure of this formula in the dataset: 268 meV per atom
- Raw total energy: -21.976 eV/atom

```
TcSbCl2
1.0
2.9574 0.0000 0.0000
0.0000 5.5848 0.0000
0.0000 0.0000 10.6193
Tc Sb Cl
2 2 4
Direct
0.0000 0.0000 0.0000
0.5000 0.5000 0.0000
0.0000 0.0000 0.5000
0.5000 0.5000 0.5000
0.0000 0.5000 0.1726
0.0000 0.5000 0.8274
0.5000 0.0000 0.1726
0.5000 0.0000 0.8274
```

Material: Tl2FePtBr
Method: DFT, meta-GGA SCAN
State: single point on PBEsol structure

Properties
- ΔE_f (raw): 9.03 kcal/mol of atoms
- Size of the total moment: 0.002 Bohr magnetons per cell
- Raw total energy: -50.108 eV/atom

```
Tl2FePtBr
1.0
5.1650 0.0000 0.0000
0.0000 5.1650 0.0000
0.0000 0.0000 4.4160
Tl Fe Pt Br
2 1 1 1
Direct
0.0000 0.5000 0.0000
0.5000 0.0000 0.0000
0.0000 0.0000 0.0000
0.0000 0.0000 0.5000
0.5000 0.5000 0.5000
```

Material: YMn2Re
Method: DFT, meta-GGA SCAN
State: single point on PBEsol structure

Properties
- Formation energy from the elements: 443 meV per atom
- Size of the total moment: 12.755 Bohr magnetons per cell
- Excess energy over the best structure of this formula in the dataset: 174 meV per atom
- Raw total energy: -33.420 eV/atom

```
YMn2Re
1.0
3.7428 0.0000 0.0000
0.0000 3.7428 0.0000
0.0000 0.0000 8.7899
Y Mn Re
2 4 2
Direct
0.0000 0.0000 0.0000
0.5000 0.5000 0.5000
0.0000 0.0000 0.5000
0.0000 0.5000 0.2500
0.5000 0.0000 0.7500
0.5000 0.5000 0.0000
0.0000 0.5000 0.7500
0.5000 0.0000 0.2500
```

Material: LaAlSi2
Method: DFT, meta-GGA SCAN
State: single point on PBEsol structure

Properties
- ΔE_f (raw): -9.06 kcal/mol of atoms
- Size of the total moment: 0.000 Bohr magnetons per cell
- Raw total energy: -18.115 eV/atom

```
LaAlSi2
1.0
8.3242 0.0000 0.0000
0.0000 3.8372 0.0000
-1.7840 0.0000 5.1061
La Al Si
2 2 4
Direct
0.0000 0.0000 0.0000
0.5000 0.5000 0.0000
0.0000 0.5000 0.5000
0.5000 0.0000 0.5000
0.2296 0.0000 0.6383
0.2704 0.5000 0.3617
0.7296 0.5000 0.6383
0.7704 0.0000 0.3617
```

Material: BaTi2As2
Method: DFT, meta-GGA SCAN
State: single point on PBEsol structure

Properties
- Formation energy from the elements: -1018 meV per atom
- Size of the total moment: 0.001 Bohr magnetons per cell
- Raw total energy: -23.416 eV/atom

```
BaTi2As2
1.0
4.1001 0.0000 0.0000
0.0000 4.1001 0.0000
0.0000 0.0000 13.4938
Ba Ti As
2 4 4
Direct
0.0000 0.0000 0.0000
0.5000 0.5000 0.5000
0.0000 0.5000 0.2500
0.0000 0.5000 0.7500
0.5000 0.0000 0.2500
0.5000 0.0000 0.7500
0.0000 0.0000 0.3642
0.0000 0.0000 0.6358
0.5000 0.5000 0.1358
0.5000 0.5000 0.8642
```

Material: Y2CrPt
Method: DFT, meta-GGA SCAN
State: single point on PBEsol structure

Properties
- Formation energy from the elements: -652 meV per atom
- Size of the total moment: 3.473 Bohr magnetons per cell
- Excess energy over the best structure of this formula in the dataset: 0 meV per atom
- Raw total energy: -36.718 eV/atom

```
Y2CrPt
1.0
3.5036 0.0000 0.0000
0.0000 3.5036 0.0000
0.0000 0.0000 6.7933
Y Cr Pt
2 1 1
Direct
0.0000 0.0000 0.2438
0.0000 0.0000 0.7562
0.5000 0.5000 0.5000
0.5000 0.5000 0.0000
```

Material: Ca3ReGe
Method: DFT, meta-GGA SCAN
State: single point on PBEsol structure

Properties
- Formation energy from the elements: 823 meV per atom
- Size of the total moment: 2.402 Bohr magnetons per cell
- Excess energy over the best structure of this formula in the dataset: 0 meV per atom
- Raw total energy: -23.012 eV/atom

```
Ca3ReGe
1.0
5.3316 0.0000 0.0000
0.0000 5.3316 0.0000
0.0000 0.0000 5.3316
Ca Re Ge
3 1 1
Direct
0.0000 0.0000 0.5000
0.0000 0.5000 0.0000
0.5000 0.0000 0.0000
0.0000 0.0000 0.0000
0.5000 0.5000 0.5000
```

Question: Which formula does entry 12 have?
Answer: Ca3ReGe

Copy entry 12 word for word.
Material: Ca3ReGe
Method: DFT, meta-GGA SCAN
State: single point on PBEsol structure

Properties
- Formation energy from the elements: 823 meV per atom
- Size of the total moment: 2.402 Bohr magnetons per cell
- Excess energy over the best structure of this formula in the dataset: 0 meV per atom
- Raw total energy: -23.012 eV/atom

```
Ca3ReGe
1.0
5.3316 0.0000 0.0000
0.0000 5.3316 0.0000
0.0000 0.0000 5.3316
Ca Re Ge
3 1 1
Direct
0.0000 0.0000 0.5000
0.0000 0.5000 0.0000
0.5000 0.0000 0.0000
0.0000 0.0000 0.0000
0.5000 0.5000 0.5000
```